[1]
DFT (PBE-GGA) results for a relaxed structure of ZrTe2Ru.

Unit cell a=3.7917 b=4.1849 c=14.6534 alpha=90.00 beta=90.00 gamma=90.00
Closest atoms and distances in Å follow each position.
Space group Immm (No. 71)
Asymmetric unit:
Zr (0.0000, 0.0000, 0.0000)  4 Ru 2.82, 4 Te 2.91
Te (0.0000, 0.5000, 0.1380)  2 Ru 2.77, 2 Zr 2.91
Ru (0.0000, 0.0000, 0.5000)  4 Te 2.77, 4 Zr 2.82

Summary:
**Crystal system**: orthorhombic
**N(E_F)**: 0.354 states/eV per atom
**E above lowest polymorph**: 0.000 eV/atom
**Calculated volume**: 232.5 Å³ per cell

---

[2]
DFT (PBE-GGA) results for a relaxed structure of RbZr3Co.

Unit cell a=5.0606 b=5.0606 c=5.0606 alpha=90.00 beta=90.00 gamma=90.00
Closest atoms and distances in Å follow each position.
Space group Pm-3m (No. 221)
Asymmetric unit:
Rb (0.0000, 0.0000, 0.0000)  12 Zr 3.58
Zr (0.0000, 0.5000, 0.5000)  2 Co 2.53
Co (0.5000, 0.5000, 0.5000)  6 Zr 2.53

Summary:
**Crystal system**: cubic
**N(E_F)**: 2.056 states/eV per atom
**E above lowest polymorph**: 0.000 eV/atom
**Formation energy**: 14.42 kcal/mol of atoms
**Calculated volume**: 129.6 Å³ per cell

---

[3]
DFT (PBE-GGA) results for a relaxed structure of Pm4GeTe2P.

Unit cell a=7.4382 b=4.2963 c=7.6577 alpha=90.00 beta=108.87 gamma=90.00
Closest atoms and distances in Å follow each position.
Space group P2/m (No. 10)
Asymmetric unit:
Pm (0.2369, 0.0000, 0.2174)  2 P 2.93, 1 Ge 2.95, 3 Te 3.20-3.22
Pm (0.2576, 0.5000, 0.7786)  1 P 2.94, 2 Ge 2.96, 3 Te 3.19-3.21
Ge (0.5000, 0.0000, 0.0000)  6 Pm 2.95-2.96
Te (0.0000, 0.0000, 0.5000)  6 Pm 3.19-3.20
Te (0.5000, 0.5000, 0.5000)  6 Pm 3.21-3.22
P (0.0000, 0.5000, 0.0000)  6 Pm 2.93-2.94

Summary:
**Crystal system**: monoclinic
**N(E_F)**: 0.230 states/eV per atom
**Calculated volume**: 231.6 Å³ per cell
**E_tot**: -5.822 eV per atom